# 1
Entry from Alexandria via LeMat-Bulk: a geometry-optimized CeNdTmPb structure (PBE-GGA).

Cell and atoms, written as POSCAR:
```
CeNdTmPb
1.0
5.4863 0.0000 0.0000
2.7431 4.7513 0.0000
2.7431 1.5838 4.4795
Pb Tm Nd Ce
1 1 1 1
Direct
0.7500 0.7500 0.7500
0.0000 0.0000 0.0000
0.5000 0.5000 0.5000
0.2500 0.2500 0.2500
```

Mass density ... 9.39 g/cm3
Final energy ... -4.775 eV/atom
Volume ... 116.77 Å³/cell
DFT formation energy ... -54 meV per atom



# 2
Entry from Alexandria via LeMat-Bulk: a geometry-optimized Ce2NdZn2Pb2 structure (PBE-GGA).

Cell and atoms, written as POSCAR:
```
Ce2NdZn2Pb2
1.0
-2.1772 -2.3591 3.3469
2.4211 -1.7850 3.5298
-1.1430 6.8337 7.2862
Ce Nd Zn Pb
2 1 2 2
Direct
0.1445 0.1445 0.5664
0.8555 0.8555 0.4336
0.0000 0.0000 0.0000
0.5720 0.5720 0.2841
0.4280 0.4280 0.7159
0.7310 0.7310 0.8070
0.2690 0.2690 0.1930
```

Mass density ... 8.92 g/cm3
Final energy ... -4.007 eV/atom
Volume ... 180.51 Å³/cell
DFT formation energy ... -207 meV per atom



# 3
Entry from Alexandria via LeMat-Bulk: a geometry-optimized Ce2NdPd structure (PBE-GGA).

Cell and atoms, written as POSCAR:
```
Ce2NdPd
1.0
5.0735 0.0000 0.0000
2.5368 4.3938 0.0000
2.5368 1.4646 4.5502
Nd Pd Ce
1 1 2
Direct
0.0000 0.0000 0.0000
0.5000 0.5000 0.5000
0.7524 0.7524 0.7429
0.2476 0.2476 0.2571
```

Distance to the lowest polymorph of the same formula ... 0.188 eV/atom
Mass density ... 8.69 g/cm3
Final energy ... -5.508 eV/atom
Volume ... 101.43 Å³/cell
DFT formation energy ... -51 meV per atom



# 4
Entry from Alexandria via LeMat-Bulk: a geometry-optimized CeNdPd14 structure (PBE-GGA).

Cell and atoms, written as POSCAR:
```
CeNdPd14
1.0
5.8570 -0.0125 0.0000
0.0124 5.8570 0.0000
0.0000 0.0000 7.8509
Ce Nd Pd
1 1 14
Direct
0.8750 0.8750 0.5000
0.3750 0.3750 0.5000
0.8750 0.8750 0.0000
0.3750 0.3750 0.0000
0.8750 0.3750 0.5000
0.8750 0.3750 0.0000
0.3750 0.8750 0.5000
0.3750 0.8750 0.0000
0.6284 0.1216 0.2399
0.6284 0.1216 0.7601
0.1216 0.6284 0.2399
0.1216 0.6284 0.7601
0.6284 0.6284 0.2400
0.6284 0.6284 0.7600
0.1216 0.1216 0.2400
0.1216 0.1216 0.7600
```

Mass density ... 10.94 g/cm3
Final energy ... -5.600 eV/atom
Volume ... 269.32 Å³/cell
DFT formation energy ... -387 meV per atom



# 5
Entry from Alexandria via LeMat-Bulk: a geometry-optimized CeNdPd structure (PBE-GGA).

Cell and atoms, written as POSCAR:
```
CeNdPd
1.0
-1.4020 0.8334 -3.3301
1.9349 -2.7794 -1.5101
-4.5517 -2.5161 3.3511
Nd Ce Pd
1 1 1
Direct
0.0117 0.0117 0.0234
0.3082 0.3082 0.6165
0.6800 0.6800 0.3601
```

Distance to the lowest polymorph of the same formula ... 0.000 eV/atom
Mass density ... 8.42 g/cm3
Final energy ... -5.687 eV/atom
Volume ... 77.05 Å³/cell
DFT formation energy ... -389 meV per atom



# 6
Entry from Alexandria via LeMat-Bulk: a geometry-optimized CeNdPd4 structure (PBE-GGA).

Cell and atoms, written as POSCAR:
```
CeNdPd4
1.0
4.1389 0.0000 -0.8486
0.0000 5.8164 0.0000
-0.0447 0.0000 10.3000
Ce Nd Pd
2 2 8
Direct
0.4226 0.2500 0.8452
0.5774 0.7500 0.1548
0.7231 0.2500 0.4461
0.2769 0.7500 0.5539
0.0000 0.0000 0.0000
0.0000 0.5000 0.0000
0.1442 0.0091 0.2884
0.8558 0.5091 0.7116
0.1442 0.4909 0.2884
0.8558 0.9909 0.7116
0.5709 0.2500 0.1419
0.4291 0.7500 0.8581
```

Distance to the lowest polymorph of the same formula ... 0.000 eV/atom
Mass density ... 9.52 g/cm3
Final energy ... -6.022 eV/atom
Volume ... 247.74 Å³/cell
DFT formation energy ... -776 meV per atom



# 7
Entry from Alexandria via LeMat-Bulk: a geometry-optimized CeNdPd4 structure (PBE-GGA).

Cell and atoms, written as POSCAR:
```
CeNdPd4
1.0
5.5158 0.0000 0.0000
2.7579 4.7769 0.0000
2.7579 1.5923 4.5037
Nd Pd Ce
1 4 1
Direct
0.2500 0.2500 0.2500
0.6251 0.6251 0.1247
0.6251 0.1247 0.6251
0.6251 0.6251 0.6251
0.1247 0.6251 0.6251
0.0000 0.0000 0.0000
```

Distance to the lowest polymorph of the same formula ... 0.062 eV/atom
Mass density ... 9.94 g/cm3
Final energy ... -5.960 eV/atom
Volume ... 118.66 Å³/cell
DFT formation energy ... -714 meV per atom



# 8
Entry from Alexandria via LeMat-Bulk: a geometry-optimized CeNdPd structure (PBE-GGA).

Cell and atoms, written as POSCAR:
```
CeNdPd
1.0
5.0000 0.0000 0.0000
2.5000 4.3302 0.0000
2.5000 1.4434 4.0825
Nd Pd Ce
1 1 1
Direct
0.0000 0.0000 0.0000
0.2500 0.2500 0.2500
0.5000 0.5000 0.5000
```

Distance to the lowest polymorph of the same formula ... 0.133 eV/atom
Mass density ... 7.34 g/cm3
Final energy ... -5.554 eV/atom
Volume ... 88.39 Å³/cell
DFT formation energy ... -256 meV per atom